Entry 1:
Crystalline TaTl2Cr at its relaxed geometry, computed with GGA-PBE.

Results
The calculation puts the formation energy at 0.73 eV per atom. Its density of states at the Fermi level is 2.62 states/eV per cell. Its raw total energy is -5.826 eV/atom. The value obtained for the energy above the most stable polymorph in this dataset is 234.6 meV per atom.

Cell and atoms, written as POSCAR:
```
TaTl2Cr
1.0
3.099 0.000 0.000
0.000 4.203 0.000
0.000 0.000 6.209
Cr Ta Tl
1 1 2
direct
0.500 0.500 0.250
0.500 0.500 0.750
0.000 0.000 0.006
0.000 0.000 0.494
```



Entry 2:
Crystalline AgBi2Au at its relaxed geometry, computed with GGA-PBE.

Results
The calculation puts the formation energy at 0.23 eV per atom. Its density of states at the Fermi level is 1.47 states/eV per cell. Its raw total energy is -3.242 eV/atom. The value obtained for the energy above the most stable polymorph in this dataset is 163.7 meV per atom.

Cell and atoms, written as POSCAR:
```
AgBi2Au
1.0
3.482 0.000 0.000
1.741 3.016 0.000
1.741 1.005 10.342
Au Bi Ag
1 2 1
direct
0.500 0.500 0.500
0.093 0.093 0.720
0.907 0.907 0.280
0.000 0.000 0.000
```



Entry 3:
Crystalline TbHo2Pb2 at its relaxed geometry, computed with GGA-PBE.

Results
The calculation puts the formation energy at -0.43 eV per atom. Its density of states at the Fermi level is 6.14 states/eV per cell. Its raw total energy is -4.671 eV/atom.

Cell and atoms, written as POSCAR:
```
TbHo2Pb2
1.0
-0.829 3.875 -2.965
-5.953 0.726 2.613
3.925 3.728 7.907
Tb Ho Pb
2 4 4
direct
0.607 0.020 0.214
0.393 0.520 0.786
0.001 0.272 0.002
0.187 0.526 0.374
0.813 0.026 0.626
0.999 0.772 0.998
0.575 0.522 0.149
0.201 0.027 0.402
0.799 0.527 0.598
0.425 0.022 0.851
```



Entry 4:
Crystalline Ce7PuPt3 at its relaxed geometry, computed with GGA-PBE.

Results
The calculation puts the formation energy at -0.55 eV per atom. Its density of states at the Fermi level is 46.93 states/eV per cell. Its raw total energy is -7.278 eV/atom.

Cell and atoms, written as POSCAR:
```
Ce7PuPt3
1.0
-1.929 7.061 -3.810
2.410 -5.719 -5.439
-8.997 -2.941 -0.895
Ce Pu Pt
14 2 6
direct
0.691 0.934 0.537
0.309 0.066 0.037
0.934 0.691 0.463
0.066 0.309 0.963
0.067 0.310 0.536
0.933 0.690 0.036
0.310 0.067 0.464
0.690 0.933 0.964
0.376 0.624 0.250
0.624 0.376 0.750
0.641 0.359 0.250
0.359 0.641 0.750
0.939 0.061 0.250
0.061 0.939 0.750
0.000 0.000 0.500
0.000 0.000 0.000
0.500 0.500 0.500
0.500 0.500 0.000
0.536 0.994 0.250
0.464 0.006 0.750
0.994 0.536 0.750
0.006 0.464 0.250
```



Entry 5:
Crystalline Ba2IrPt at its relaxed geometry, computed with GGA-PBE.

Results
The calculation puts the formation energy at -0.07 eV per atom. Its density of states at the Fermi level is 1.83 states/eV per cell. Its raw total energy is -4.761 eV/atom.

Cell and atoms, written as POSCAR:
```
Ba2IrPt
1.0
-3.238 6.716 -2.985
-1.722 -2.543 4.443
0.339 3.286 2.011
Ir Ba Pt
1 2 1
direct
0.000 0.500 0.500
0.000 0.000 0.000
0.500 0.000 0.500
0.500 0.500 0.000
```



Entry 6:
Crystalline TlSnTe2N at its relaxed geometry, computed with GGA-PBE.

Results
The calculation puts the formation energy without anion corrections at 0.943 eV/atom. Its density of states at the Fermi level is 2.86 states/eV per cell. Its raw total energy is -3.252 eV/atom. The value obtained for the energy above the most stable polymorph in this dataset is 388.9 meV per atom.

Cell and atoms, written as POSCAR:
```
TlSnTe2N
1.0
5.929 0.000 0.000
0.000 5.929 0.000
0.000 0.000 4.316
Tl Te Sn N
1 2 1 1
direct
0.000 0.000 0.000
0.000 0.500 0.000
0.500 0.000 0.000
0.500 0.500 0.500
0.000 0.000 0.500
```



Entry 7:
Crystalline HfGe2Se8 at its relaxed geometry, computed with GGA-PBE.

Results
The calculation puts the formation energy without anion corrections at -0.033 eV/atom. Its density of states at the Fermi level is 6.44 states/eV per cell. Its raw total energy is -4.312 eV/atom.

Cell and atoms, written as POSCAR:
```
HfGe2Se8
1.0
7.188 0.000 0.000
0.000 7.221 0.000
0.000 -3.610 6.253
Hf Ge Se
1 2 8
direct
0.500 0.000 0.000
0.840 0.667 0.333
0.160 0.333 0.667
0.831 0.333 0.667
0.169 0.667 0.333
0.229 0.143 0.287
0.771 0.857 0.713
0.771 0.287 0.143
0.229 0.713 0.857
0.229 0.143 0.857
0.771 0.857 0.143
```



Entry 8:
Crystalline Pd2PtAu2 at its relaxed geometry, computed with GGA-PBE.

Results
The calculation puts the formation energy at 0.25 eV per atom. Its density of states at the Fermi level is 15.33 states/eV per cell. Its raw total energy is -4.345 eV/atom. The value obtained for the energy above the most stable polymorph in this dataset is 274.6 meV per atom.

Cell and atoms, written as POSCAR:
```
Pd2PtAu2
1.0
6.986 0.000 0.000
0.000 6.986 0.000
0.000 0.000 3.596
Au Pd Pt
4 4 2
direct
0.162 0.662 0.500
0.662 0.838 0.500
0.838 0.338 0.500
0.338 0.162 0.500
0.362 0.862 0.000
0.862 0.638 0.000
0.638 0.138 0.000
0.138 0.362 0.000
0.000 0.000 0.000
0.500 0.500 0.000
```



Entry 9:
Crystalline SrTaSiIr2 at its relaxed geometry, computed with GGA-PBE.

Results
The calculation puts the formation energy without anion corrections at 0.381 eV/atom. Its density of states at the Fermi level is 5.50 states/eV per cell. Its raw total energy is -6.955 eV/atom.

Cell and atoms, written as POSCAR:
```
SrTaSiIr2
1.0
-1.161 -2.857 -3.411
0.599 -3.714 2.907
-4.412 0.280 1.267
Sr Si Ir Ta
1 1 2 1
direct
0.500 0.500 0.500
0.000 0.000 0.000
0.000 0.000 0.500
0.500 0.000 0.000
0.000 0.500 0.000
```



Entry 10:
Crystalline Zr2CrTe at its relaxed geometry, computed with GGA-PBE.

Results
The calculation puts the formation energy without anion corrections at 0.007 eV/atom. Its density of states at the Fermi level is 2.56 states/eV per cell. Its raw total energy is -7.458 eV/atom.

Cell and atoms, written as POSCAR:
```
Zr2CrTe
1.0
8.380 0.011 0.006
7.655 3.409 0.006
7.655 1.632 2.993
Cr Te Zr
1 1 2
direct
0.250 0.250 0.250
0.750 0.750 0.750
0.992 0.992 0.992
0.508 0.508 0.508
```



Entry 11:
Crystalline Pm2PbCl at its relaxed geometry, computed with GGA-PBE.

Results
The calculation puts the formation energy without anion corrections at -0.868 eV/atom. Its density of states at the Fermi level is 2.87 states/eV per cell. Its raw total energy is -4.632 eV/atom. The value obtained for the energy above the most stable polymorph in this dataset is 0.0 meV per atom.

Cell and atoms, written as POSCAR:
```
Pm2PbCl
1.0
5.389 0.000 0.000
2.695 4.667 0.000
2.695 1.556 4.400
Pb Cl Pm
1 1 2
direct
0.500 0.500 0.500
0.000 0.000 0.000
0.250 0.250 0.250
0.750 0.750 0.750
```



Entry 12:
Crystalline Ho2ThS4 at its relaxed geometry, computed with GGA-PBE.

Results
The calculation puts the formation energy without anion corrections at -1.964 eV/atom. Its density of states at the Fermi level is 7.15 states/eV per cell. Its raw total energy is -6.690 eV/atom.

Cell and atoms, written as POSCAR:
```
Ho2ThS4
1.0
-1.152 -0.906 3.585
1.448 -5.806 -3.094
12.277 0.847 4.159
Ho Th S
4 2 8
direct
0.134 0.267 0.434
0.866 0.733 0.934
0.134 0.267 0.066
0.866 0.733 0.566
0.624 0.248 0.750
0.376 0.752 0.250
0.772 0.545 0.123
0.772 0.545 0.377
0.228 0.455 0.877
0.228 0.455 0.623
0.966 0.932 0.750
0.034 0.068 0.250
0.500 0.000 0.000
0.500 0.000 0.500
```



Entry 13:
Crystalline Ho4ErTmSc2 at its relaxed geometry, computed with GGA-PBE.

Results
The calculation puts the formation energy at 0.13 eV per atom. Its density of states at the Fermi level is 17.33 states/eV per cell. Its raw total energy is -4.875 eV/atom.

Cell and atoms, written as POSCAR:
```
Ho4ErTmSc2
1.0
5.639 0.000 0.000
0.000 5.498 1.266
0.000 3.842 8.451
Ho Er Tm Sc
4 1 1 2
direct
0.000 0.751 0.749
0.000 0.249 0.251
0.500 0.749 0.251
0.500 0.251 0.749
0.500 0.500 0.000
0.000 0.500 0.500
0.000 0.000 0.000
0.500 0.000 0.500
```



Entry 14:
Crystalline CdIrSCl2 at its relaxed geometry, computed with GGA-PBE.

Results
The calculation puts the formation energy without anion corrections at 0.975 eV/atom. Its density of states at the Fermi level is 9.43 states/eV per cell. Its raw total energy is -2.544 eV/atom. The value obtained for the energy above the most stable polymorph in this dataset is 941.0 meV per atom.

Cell and atoms, written as POSCAR:
```
CdIrSCl2
1.0
4.940 0.000 0.000
0.000 4.940 0.000
0.000 0.000 5.288
Cl S Ir Cd
2 1 1 1
direct
0.000 0.500 0.000
0.500 0.000 0.000
0.000 0.000 0.500
0.500 0.500 0.500
0.000 0.000 0.000
```



Entry 15:
Crystalline HfTlAs2 at its relaxed geometry, computed with GGA-PBE.

Results
The calculation puts the formation energy at -0.41 eV per atom. Its density of states at the Fermi level is 2.69 states/eV per cell. Its raw total energy is -5.810 eV/atom. The value obtained for the energy above the most stable polymorph in this dataset is 27.7 meV per atom.

Cell and atoms, written as POSCAR:
```
HfTlAs2
1.0
-0.255 -3.869 -0.025
2.997 -2.133 -1.227
3.721 -2.233 6.845
Hf Tl As
1 1 2
direct
0.667 0.667 0.998
0.499 0.499 0.502
0.066 0.066 0.803
0.268 0.268 0.197
```



Entry 16:
Crystalline TlIn2Co at its relaxed geometry, computed with GGA-PBE.

Results
The calculation puts the formation energy at 0.26 eV per atom. Its density of states at the Fermi level is 3.08 states/eV per cell. Its raw total energy is -3.475 eV/atom. The value obtained for the energy above the most stable polymorph in this dataset is 109.7 meV per atom.

Cell and atoms, written as POSCAR:
```
TlIn2Co
1.0
-0.710 2.824 1.249
-3.079 -0.545 -0.518
-0.681 -3.669 7.910
Co In Tl
1 2 1
direct
0.500 0.500 0.765
0.000 0.000 0.937
0.500 0.500 0.239
0.000 0.000 0.560
```



Entry 17:
Crystalline AgSb2Ru at its relaxed geometry, computed with GGA-PBE.

Results
The calculation puts the formation energy without anion corrections at 0.218 eV/atom. Its density of states at the Fermi level is 3.17 states/eV per cell. Its raw total energy is -4.875 eV/atom.

Cell and atoms, written as POSCAR:
```
AgSb2Ru
1.0
-2.728 -1.064 -1.282
1.608 -3.632 -0.407
-2.273 -1.707 6.254
Ag Ru Sb
1 1 2
direct
0.000 0.000 0.511
0.500 0.500 0.743
0.000 0.000 0.910
0.500 0.500 0.336
```



Entry 18:
Crystalline Sc2Pd3Rh3 at its relaxed geometry, computed with GGA-PBE.

Results
The calculation puts the formation energy at -0.67 eV per atom. Its density of states at the Fermi level is 8.66 states/eV per cell. Its raw total energy is -6.954 eV/atom.

Cell and atoms, written as POSCAR:
```
Sc2Pd3Rh3
1.0
-2.670 0.863 -2.847
-2.409 -2.833 1.400
-3.398 5.250 4.778
Sc Pd Rh
2 3 3
direct
0.000 0.000 0.746
0.000 0.000 0.254
0.500 0.500 0.749
0.500 0.500 0.251
0.500 0.000 0.000
0.500 0.000 0.500
0.000 0.500 0.000
0.000 0.500 0.500
```



Entry 19:
Crystalline LiDyCu2 at its relaxed geometry, computed with GGA-PBE.

Results
The calculation puts the formation energy at -0.09 eV per atom. Its density of states at the Fermi level is 2.02 states/eV per cell. Its raw total energy is -3.763 eV/atom. The value obtained for the energy above the most stable polymorph in this dataset is 40.5 meV per atom.

Cell and atoms, written as POSCAR:
```
LiDyCu2
1.0
4.646 0.000 0.000
2.323 4.024 0.000
2.323 1.341 3.794
Li Cu Dy
1 2 1
direct
0.000 0.000 0.000
0.250 0.250 0.250
0.750 0.750 0.750
0.500 0.500 0.500
```



Entry 20:
Crystalline Na2BP2 at its relaxed geometry, computed with GGA-PBE.

Results
The calculation puts the formation energy at -0.05 eV per atom. Its density of states at the Fermi level is 1.71 states/eV per cell. Its raw total energy is -4.078 eV/atom.

Cell and atoms, written as POSCAR:
```
Na2BP2
1.0
-3.287 1.809 -0.668
-4.384 -2.694 3.406
0.088 6.074 5.140
Na B P
4 2 4
direct
0.648 0.368 0.336
0.907 0.280 0.907
0.352 0.632 0.664
0.093 0.720 0.093
0.660 0.029 0.650
0.340 0.971 0.350
0.132 0.166 0.571
0.622 0.878 0.878
0.868 0.834 0.429
0.378 0.122 0.122
```